PBE Tb3V, optimized geometry; N(E_F) = 4.2 states/eV/f.u.; energy of formation from the pure elements = 1.3 eV per formula unit
1.0
-4.066 -3.277 1.267
0.584 -3.607 3.940
-2.624 0.646 4.645
Tb V
3 1
direct
0.250 0.250 0.250
0.750 0.750 0.750
0.500 0.500 0.500
0.000 0.000 0.000